The following is a DFT calculation (PBE) of Ce2HAu after structural relaxation.

Values from the calculation:
Calculated density   10.3 g/cm³
DOS(E_F)   2.068 states/eV per atom
Total DFT energy (no corrections)   -4.93 eV per atom

a = 3.330 Å, b = 3.330 Å, c = 6.919 Å
α = 90.00°, β = 90.00°, γ = 90.00°
Positions (direct):
1 Ce 0.000 0.000 0.194
2 Ce 0.000 0.000 0.806
3 H 0.500 0.500 0.000
4 Au 0.500 0.500 0.500